Density functional theory data (PBEsol) for a relaxed structure of Li2POs.

Cell: 2.520 2.520 8.233 Å, 90.00 90.00 90.00°
Fractional positions:
Li: 0.000 0.000 0.236
Li: 0.000 0.000 0.764
P: 0.500 0.500 0.000
Os: 0.500 0.500 0.500

Output
Crystal system: tetragonal
Formation enthalpy at 0 K in meV per atom: 8
Electronic total energy in eV/atom: -5.478
Space group: P4/mmm, No. 123

***

Density functional theory data (PBEsol) for a relaxed structure of CuAs2Cl.

Cell: 3.557 3.557 22.052 Å, 90.00 90.00 120.00°
Fractional positions:
Cu: 0.000 0.000 0.000
Cu: 0.333 0.667 0.667
Cu: 0.667 0.333 0.333
As: 0.000 0.000 0.253
As: 0.000 0.000 0.521
As: 0.333 0.667 0.188
As: 0.333 0.667 0.920
As: 0.667 0.333 0.587
As: 0.667 0.333 0.854
Cl: 0.000 0.000 0.715
Cl: 0.333 0.667 0.382
Cl: 0.667 0.333 0.049

Output
Crystal system: trigonal
Electronic total energy in eV/atom: -4.292
Formation energy (no corrections) in eV per atom: -0.154
Space group: R3m, No. 160

***

| no. | magnetic moment (μB/atom) |
| --- | --- |
| 1 | 0.0001 |
| 2 | 0.0000 |